[1]
Compound: TcIrBr2
Source: Alexandria via LeMat-Bulk
Functional: GGA-PBEsol
Structure: relaxed

- density (g/cm3) = 11.63
- DOS(E_F) (states/eV/f.u.) = 4.29
- ΔE to the lowest computed polymorph (meV/atom) = 830
- raw formation energy (meV/atom) = 1138
- SG = P4/mmm (123)

Cell: 3.169 3.169 6.394 Å, 90.00 90.00 90.00°
Element x y z (fractional)
Br 0.000 0.000 0.261
Br 0.000 0.000 0.739
Ir 0.500 0.500 0.000
Tc 0.500 0.500 0.500

[2]
Compound: Nb2Co3Si
Source: Alexandria via LeMat-Bulk
Functional: GGA-PBEsol
Structure: relaxed

- density (g/cm3) = 8.68
- DOS(E_F) (states/eV/f.u.) = 6.44
- raw formation energy (meV/atom) = -514
- SG = P6_3/mmc (194)

Cell: 4.809 4.809 7.468 Å, 90.00 90.00 120.00°
Element x y z (fractional)
Nb 0.333 0.667 0.440
Nb 0.667 0.333 0.560
Nb 0.667 0.333 0.940
Nb 0.333 0.667 0.060
Co 0.830 0.170 0.250
Co 0.830 0.660 0.250
Co 0.660 0.830 0.750
Co 0.170 0.830 0.750
Co 0.340 0.170 0.250
Co 0.170 0.340 0.750
Si 0.000 0.000 0.500
Si 0.000 0.000 0.000

[3]
Compound: Li2ZrTe
Source: Alexandria via LeMat-Bulk
Functional: GGA-PBEsol
Structure: relaxed

- density (g/cm3) = 4.51
- DOS(E_F) (states/eV/f.u.) = 2.34
- raw formation energy (meV/atom) = -98
- SG = Cmmm (65)

Cell: 3.033 5.665 5.732 Å, 119.61 90.00 90.00°
Element x y z (fractional)
Li 0.000 0.500 0.500
Li 0.000 0.000 0.500
Zr 0.500 0.500 0.000
Te 0.500 0.000 0.000

[4]
Compound: NaZr2FeCl
Source: Alexandria via LeMat-Bulk
Functional: GGA-PBEsol
Structure: relaxed

- density (g/cm3) = 4.10
- DOS(E_F) (states/eV/f.u.) = 3.57
- raw formation energy (meV/atom) = 294
- SG = P4/mmm (123)

Cell: 4.556 4.556 5.784 Å, 90.00 90.00 90.00°
Element x y z (fractional)
Na 0.000 0.000 0.500
Fe 0.000 0.000 0.000
Zr 0.000 0.500 0.000
Zr 0.500 0.000 0.000
Cl 0.500 0.500 0.500

[5]
Compound: Li3Ag2Ge3
Source: Alexandria via LeMat-Bulk
Functional: GGA-PBEsol
Structure: relaxed

- energy relative to the elements (eV per atom) = -0.190
- density (g/cm3) = 5.98
- DOS(E_F) (states/eV/f.u.) = 2.35
- SG = Pn-3m (224)

Cell: 6.321 6.321 6.321 Å, 90.00 90.00 90.00°
Element x y z (fractional)
Ag 0.250 0.750 0.750
Ag 0.750 0.250 0.750
Ag 0.750 0.750 0.250
Ag 0.250 0.250 0.250
Ge 0.500 0.500 0.000
Ge 0.500 0.000 0.000
Ge 0.500 0.000 0.500
Ge 0.000 0.500 0.000
Ge 0.000 0.000 0.500
Ge 0.000 0.500 0.500
Li 0.750 0.750 0.750
Li 0.250 0.750 0.250
Li 0.750 0.250 0.250
Li 0.500 0.500 0.500
Li 0.000 0.000 0.000
Li 0.250 0.250 0.750

[6]
Compound: RbRe3Ni
Source: Alexandria via LeMat-Bulk
Functional: GGA-PBEsol
Structure: relaxed

- energy relative to the elements (eV per atom) = 2.451
- density (g/cm3) = 12.02
- DOS(E_F) (states/eV/f.u.) = 8.48
- SG = Pm-3m (221)

Cell: 4.596 4.596 4.596 Å, 90.00 90.00 90.00°
Last column: magnetic moment on the atom in μB.
Element x y z (fractional)
Re 0.000 0.000 0.500  0.89
Re 0.000 0.500 0.000  0.89
Re 0.500 0.000 0.000  0.89
Rb 0.500 0.500 0.500  0.05
Ni 0.000 0.000 0.000  0.46

[7]
Compound: CdGaTe3
Source: Alexandria via LeMat-Bulk
Functional: GGA-PBEsol
Structure: relaxed

- density (g/cm3) = 5.59
- DOS(E_F) (states/eV/f.u.) = 4.93
- raw formation energy (meV/atom) = 447
- SG = Pm-3m (221)

Cell: 5.517 5.517 5.517 Å, 90.00 90.00 90.00°
Element x y z (fractional)
Te 0.500 0.000 0.000
Te 0.000 0.000 0.500
Te 0.000 0.500 0.000
Cd 0.000 0.000 0.000
Ga 0.500 0.500 0.500

[8]
Compound: TaMnRu2
Source: Alexandria via LeMat-Bulk
Functional: GGA-PBEsol
Structure: relaxed

- energy relative to the elements (eV per atom) = 0.048
- density (g/cm3) = 13.10
- DOS(E_F) (states/eV/f.u.) = 4.86
- ΔE to the lowest computed polymorph (meV/atom) = 227
- SG = Pmm2 (25)

Cell: 2.776 3.670 5.448 Å, 90.00 90.00 90.00°
Last column: magnetic moment on the atom in μB.
Element x y z (fractional)
Ta 0.000 0.000 0.503  -0.09
Ru 0.500 0.500 0.239  0.07
Ru 0.000 0.000 0.991  -0.14
Mn 0.500 0.500 0.768  1.71